[1]
This record from Alexandria via LeMat-Bulk describes an optimized crystal structure of K2Sr4Au. The functional is PBE-GGA.

a b c (Å): 6.1868 6.1868 21.3706
angles (deg): 90.00 90.00 90.00
Space group I4/mmm (No. 139)
Unique sites:
1 K 0.0000 0.0000 0.1556
2 Sr 0.0000 0.0000 0.3555
3 Sr 0.0000 0.5000 0.0000
4 Au 0.0000 0.0000 0.5000

Output
Energy relative to the elements   -0.86 eV per formula unit



[2]
This record from Alexandria via LeMat-Bulk describes an optimized crystal structure of AcPb2. The functional is PBE-GGA.

a b c (Å): 9.3756 9.3756 9.3756
angles (deg): 90.00 90.00 90.00
Space group Fd-3m (No. 227, origin choice 2)
Unique sites:
1 Ac 0.1250 0.1250 0.1250
2 Pb 0.0000 0.0000 0.5000

Output
Energy relative to the elements   -0.92 eV per formula unit



[3]
This record from Alexandria via LeMat-Bulk describes an optimized crystal structure of Rb3Tl2Hg2Au4. The functional is PBE-GGA.

a b c (Å): 5.0378 5.0378 17.0320
angles (deg): 90.00 90.00 120.00
Space group P-3m1 (No. 164)
Unique sites:
1 Rb 0.0000 0.0000 0.0000
2 Rb 0.0000 0.0000 0.2736
3 Tl 0.3333 0.6667 0.5715
4 Hg 0.3333 0.6667 0.1378
5 Au 0.3333 0.6667 0.3999
6 Au 0.3333 0.6667 0.8660

Output
Energy relative to the elements   -2.27 eV per formula unit



[4]
This record from Alexandria via LeMat-Bulk describes an optimized crystal structure of Si3BiI. The functional is PBE-GGA.

a b c (Å): 5.5296 5.5296 5.5296
angles (deg): 90.00 90.00 90.00
Space group Pm-3m (No. 221)
Unique sites:
1 Si 0.0000 0.0000 0.5000
2 Bi 0.0000 0.0000 0.0000
3 I 0.5000 0.5000 0.5000

Output
Energy relative to the elements, uncorrected   7.0 eV/f.u.



no.,E_tot (eV/atom)
1,-1.865
2,-4.148
3,-2.148
4,-2.944